Entry 1:
VASP calculation (meta-GGA SCAN) on KBaTe2 at its PBEsol-relaxed geometry.

a = 7.4047 Å, b = 7.4047 Å, c = 7.4047 Å
α = 104.01°, β = 104.01°, γ = 121.06°
Element x y z (fractional)
K 0.0000 0.0000 0.0000
K 0.7500 0.2500 0.5000
Ba 0.2500 0.7500 0.5000
Ba 0.5000 0.5000 0.0000
Te 0.1212 0.1250 0.4962
Te 0.3750 0.8788 0.0038
Te 0.6288 0.6250 0.5038
Te 0.8750 0.3712 0.9962

ΔE_f (raw) = -4.9 eV per formula unit
uncorrected energy = -31.82 eV per atom

Entry 2:
VASP calculation (meta-GGA SCAN) on Sr2TaTc at its PBEsol-relaxed geometry.

a = 2.9057 Å, b = 2.9057 Å, c = 10.7253 Å
α = 90.00°, β = 90.00°, γ = 90.57°
Element x y z (fractional)
Sr 0.0000 0.0000 0.2354
Sr 0.0000 0.0000 0.7646
Ta 0.5000 0.5000 0.5000
Tc 0.5000 0.5000 0.0000

E above lowest polymorph = 0.000 kcal/mol of atoms
uncorrected energy = -35.31 eV per atom
energy relative to the elements = 4.950 eV per formula unit

| no. | volume (A^3/atom) | density of states at the Fermi level (states/eV/cell) | density (g/cm³) |
| --- | --- | --- | --- |
| 1 | 37.8 | 1.84 | 4.7 |
| 2 | 22.6 | 3.32 | 8.3 |